Below is a relaxed TbPr4Mg crystal, with properties calculated at the PBE level.

Structure (extended XYZ):
```
12
Lattice="5.691 0.000 0.000 0.000 11.512 0.000 -2.845 0.000 6.164" Properties=species:S:1:pos:R:3 pbc="T T T"
Pr 0.000 11.243 2.210
Pr 2.845 2.253 2.257
Pr 0.000 7.989 0.245
Pr 2.845 5.486 3.954
Pr 2.845 5.171 0.039
Pr 0.000 8.009 3.907
Pr 0.000 10.928 6.125
Pr 2.845 2.232 5.919
Mg 0.000 2.316 4.265
Mg 2.845 8.072 1.899
Tb 2.845 10.555 3.984
Tb 0.000 4.799 2.180
```

Results
The excess energy over the best structure of this formula in the dataset comes out at 34 meV/atom. For the energy relative to the elements, the calculation gives 1.0 kJ/mol of atoms.

Below is a relaxed Tb2Pr2Mg15 crystal, with properties calculated at the PBE level.

Structure (extended XYZ):
```
19
Lattice="7.950 -0.061 -0.055 0.971 7.891 -0.055 0.971 0.852 7.845" Properties=species:S:1:pos:R:3 pbc="T T T"
Mg 5.893 5.172 1.155
Mg 0.971 5.801 2.291
Mg 0.971 2.942 5.500
Mg 7.401 3.065 2.731
Mg 5.893 1.741 5.005
Mg 5.878 2.300 -0.055
Mg 0.485 3.946 -0.027
Mg 2.491 5.617 5.005
Mg 3.043 5.530 -0.055
Mg 3.999 3.510 6.581
Mg 3.043 0.581 5.500
Mg 5.878 0.210 2.291
Mg 0.485 0.426 3.923
Mg 3.975 -0.031 -0.027
Mg 3.999 6.941 2.731
Pr 6.601 5.793 5.162
Pr 3.291 2.889 2.574
Tb 8.911 7.821 6.969
Tb 0.981 0.861 0.767
```

Results
For the energy relative to the elements, the calculation gives -1.0 kJ/mol of atoms.

Below is a relaxed Tb2PrMg crystal, with properties calculated at the PBE level.

Structure (extended XYZ):
```
4
Lattice="-1.443 -0.152 -3.257 -1.074 -3.129 -1.330 -11.179 0.542 2.975" Properties=species:S:1:pos:R:3 pbc="T T T"
Mg -6.848 -1.369 -0.806
Pr -12.846 -1.647 -0.088
Tb -8.498 0.118 1.807
Tb -3.530 -0.668 -0.357
```

Results
The excess energy over the best structure of this formula in the dataset comes out at 81 meV/atom. For the energy relative to the elements, the calculation gives 4.7 kJ/mol of atoms.